[1]
Entry from the Alexandria database: a relaxed Ce4Se3F4 crystal (GGA-PBE).

Properties
* E: -6.57 eV per atom
* symmetry: No. 71
* uncorrected formation energy: -2.786 eV/atom
* D(E_F): 23.571 states/eV/cell
* magnetic moment: 5.27 μB per formula unit

Unit cell a=8.318 b=8.318 c=8.318 alpha=152.63 beta=123.39 gamma=64.00
Atoms (fractional coordinates):
1 Ce 0.223 0.223 0.000
2 Ce 0.278 0.500 0.778
3 Ce 0.722 0.500 0.222
4 Ce 0.777 0.777 0.000
5 Se 0.000 0.000 0.000
6 Se 0.385 0.885 0.500
7 Se 0.615 0.115 0.500
8 F 0.007 0.322 0.685
9 F 0.362 0.678 0.685
10 F 0.638 0.322 0.315
11 F 0.993 0.678 0.315

[2]
Entry from the Alexandria database: a relaxed Ce3SeF3 crystal (GGA-PBE).

Properties
* E: -6.44 eV per atom
* symmetry: No. 148
* uncorrected formation energy: -2.593 eV/atom
* D(E_F): 35.168 states/eV/cell
* magnetic moment: 3.72 μB per formula unit

Unit cell a=8.131 b=8.131 c=8.131 alpha=50.46 beta=50.46 gamma=50.46
Atoms (fractional coordinates):
1 Ce 0.095 0.741 0.421
2 Ce 0.259 0.579 0.905
3 Ce 0.421 0.095 0.741
4 Ce 0.579 0.905 0.259
5 Ce 0.741 0.421 0.095
6 Ce 0.905 0.259 0.579
7 Se 0.166 0.166 0.166
8 Se 0.834 0.834 0.834
9 F 0.033 0.367 0.705
10 F 0.295 0.967 0.633
11 F 0.367 0.705 0.033
12 F 0.633 0.295 0.967
13 F 0.705 0.033 0.367
14 F 0.967 0.633 0.295